Model a:
Here is a geometry-optimized Y6O5F8 structure from the Alexandria database. Energies are from GGA-PBE.

Structure (CIF):
```
data_Y6O5F8
_chemical_formula_sum 'Y12 O10 F16'
_symmetry_space_group_name_H-M 'C 2 2 2'
_symmetry_Int_Tables_number 21
_symmetry_space_group_name_Hall 'C 2 2'
_cell_length_a 5.5144
_cell_length_b 17.5038
_cell_length_c 5.5210
_cell_angle_alpha 90.00
_cell_angle_beta 90.00
_cell_angle_gamma 90.00
loop_
_atom_site_label
_atom_site_type_symbol
_atom_site_fract_x
_atom_site_fract_y
_atom_site_fract_z
Y1 Y 0.2315 0.0877 0.2123
Y2 Y 0.2500 0.2500 0.7983
O1 O 0.0000 0.0000 0.0000
O2 O 0.0000 0.1704 0.0000
O3 O 0.0000 0.3395 0.0000
F1 F 0.0000 0.0000 0.5000
F2 F 0.0000 0.1461 0.5000
F3 F 0.0000 0.2887 0.5000
F4 F 0.0000 0.4305 0.5000
F5 F 0.0000 0.5000 0.0000
```

## Properties
M_tot (μB per formula unit): 0.0

=====

Model b:
Here is a geometry-optimized Y6O5F8 structure from the Alexandria database. Energies are from GGA-PBE.

Structure (CIF):
```
data_Y6O5F8
_chemical_formula_sum 'Y6 O5 F8'
_symmetry_space_group_name_H-M 'P 1'
_symmetry_Int_Tables_number 1
_symmetry_space_group_name_Hall 'P 1'
_cell_length_a 5.5176
_cell_length_b 5.5447
_cell_length_c 8.7552
_cell_angle_alpha 74.33
_cell_angle_beta 87.96
_cell_angle_gamma 89.33
loop_
_atom_site_label
_atom_site_type_symbol
_atom_site_fract_x
_atom_site_fract_y
_atom_site_fract_z
Y1 Y 0.0000 0.0000 0.0000
Y2 Y 0.0044 0.6841 0.6644
Y3 Y 0.0123 0.3365 0.3154
Y4 Y 0.4090 0.1797 0.6505
Y5 Y 0.4364 0.8036 0.3385
Y6 Y 0.4438 0.5450 0.9639
O1 O 0.1933 0.5063 0.4937
O2 O 0.1997 0.0176 0.4810
O3 O 0.2005 0.3410 0.8326
O4 O 0.2023 0.6648 0.1536
O5 O 0.2257 0.8516 0.8189
F1 F 0.3028 0.1690 0.1525
F2 F 0.6501 0.8755 0.5502
F3 F 0.6641 0.4241 0.4274
F4 F 0.6636 0.7492 0.1185
F5 F 0.6811 0.4147 0.7529
F6 F 0.7344 0.8933 0.8262
F7 F 0.8096 0.3512 0.0492
F8 F 0.8451 0.9842 0.2771
```

## Properties
M_tot (μB per formula unit): 0.0

=====

Computed energies relative to the best structure, in eV/atom: model a 0.015; model b 0.000

=====

Model a:
Here is a geometry-optimized YOF3 structure from the Alexandria database. Energies are from GGA-PBE.

Structure (CIF):
```
data_YOF3
_chemical_formula_sum 'Y2 O2 F6'
_symmetry_space_group_name_H-M 'P 1 21/m 1'
_symmetry_Int_Tables_number 11
_symmetry_space_group_name_Hall '-P 2yb'
_cell_length_a 4.3054
_cell_length_b 7.2104
_cell_length_c 4.9525
_cell_angle_alpha 90.00
_cell_angle_beta 100.98
_cell_angle_gamma 90.00
loop_
_atom_site_label
_atom_site_type_symbol
_atom_site_fract_x
_atom_site_fract_y
_atom_site_fract_z
Y1 Y 0.0691 0.2500 0.1045
O1 O 0.2045 0.2500 0.6288
F1 F 0.1386 0.5503 0.2412
F2 F 0.4109 0.7500 0.8098
```

## Properties
M_tot (μB per formula unit): 2.0

=====

Model b:
Here is a geometry-optimized YOF3 structure from the Alexandria database. Energies are from GGA-PBE.

Structure (CIF):
```
data_YOF3
_chemical_formula_sum 'Y1 O1 F3'
_symmetry_space_group_name_H-M 'P m -3 m'
_symmetry_Int_Tables_number 221
_symmetry_space_group_name_Hall '-P 4 2 3'
_cell_length_a 4.0339
_cell_length_b 4.0339
_cell_length_c 4.0339
_cell_angle_alpha 90.00
_cell_angle_beta 90.00
_cell_angle_gamma 90.00
loop_
_atom_site_label
_atom_site_type_symbol
_atom_site_fract_x
_atom_site_fract_y
_atom_site_fract_z
Y1 Y 0.0000 0.0000 0.0000
O1 O 0.5000 0.5000 0.5000
F1 F 0.0000 0.5000 0.5000
```

## Properties
M_tot (μB per formula unit): 2.2

=====

Model c:
Here is a geometry-optimized YOF3 structure from the Alexandria database. Energies are from GGA-PBE.

Structure (CIF):
```
data_YOF3
_chemical_formula_sum 'Y1 O1 F3'
_symmetry_space_group_name_H-M 'P m -3 m'
_symmetry_Int_Tables_number 221
_symmetry_space_group_name_Hall '-P 4 2 3'
_cell_length_a 4.3996
_cell_length_b 4.3996
_cell_length_c 4.3996
_cell_angle_alpha 90.00
_cell_angle_beta 90.00
_cell_angle_gamma 90.00
loop_
_atom_site_label
_atom_site_type_symbol
_atom_site_fract_x
_atom_site_fract_y
_atom_site_fract_z
Y1 Y 0.0000 0.0000 0.0000
O1 O 0.5000 0.5000 0.5000
F1 F 0.0000 0.0000 0.5000
```

## Properties
M_tot (μB per formula unit): 2.0

=====

Computed energies relative to the best structure, in eV/atom: model a 0.000; model b 1.341; model c 0.057

=====

Model a:
Here is a geometry-optimized YO2F structure from the Alexandria database. Energies are from GGA-PBE.

Structure (CIF):
```
data_YO2F
_chemical_formula_sum 'Y2 O4 F2'
_symmetry_space_group_name_H-M 'P 1 m 1'
_symmetry_Int_Tables_number 6
_symmetry_space_group_name_Hall 'P -2y'
_cell_length_a 5.7999
_cell_length_b 3.7272
_cell_length_c 5.9609
_cell_angle_alpha 90.00
_cell_angle_beta 114.98
_cell_angle_gamma 90.00
loop_
_atom_site_label
_atom_site_type_symbol
_atom_site_fract_x
_atom_site_fract_y
_atom_site_fract_z
Y1 Y 0.0000 0.0000 0.0000
Y2 Y 0.2735 0.5000 0.6304
O1 O 0.2328 0.5000 0.9887
O2 O 0.5517 0.0000 0.9065
O3 O 0.7139 0.5000 0.7882
O4 O 0.9644 0.5000 0.2074
F1 F 0.0168 0.0000 0.6216
F2 F 0.3266 0.0000 0.4116
```

## Properties
M_tot (μB per formula unit): 2.0

=====

Model b:
Here is a geometry-optimized YO2F structure from the Alexandria database. Energies are from GGA-PBE.

Structure (CIF):
```
data_YO2F
_chemical_formula_sum 'Y3 O6 F3'
_symmetry_space_group_name_H-M 'R -3 m'
_symmetry_Int_Tables_number 166
_symmetry_space_group_name_Hall '-R 3 2"'
_cell_length_a 4.0121
_cell_length_b 4.0121
_cell_length_c 9.6870
_cell_angle_alpha 90.00
_cell_angle_beta 90.00
_cell_angle_gamma 120.00
loop_
_atom_site_label
_atom_site_type_symbol
_atom_site_fract_x
_atom_site_fract_y
_atom_site_fract_z
Y1 Y 0.0000 0.0000 0.0000
O1 O 0.0000 0.0000 0.2597
F1 F 0.0000 0.0000 0.5000
```

## Properties
M_tot (μB per formula unit): 2.0

=====

Computed energies relative to the best structure, in eV/atom: model a 0.000; model b 0.320

=====

Model a:
Here is a geometry-optimized YO2F structure from the Alexandria database. Energies are from GGA-PBE.

Structure (CIF):
```
data_YO2F
_chemical_formula_sum 'Y4 O8 F4'
_symmetry_space_group_name_H-M 'I -4 2 d'
_symmetry_Int_Tables_number 122
_symmetry_space_group_name_Hall 'I -4 2bw'
_cell_length_a 3.6083
_cell_length_b 3.6083
_cell_length_c 16.2351
_cell_angle_alpha 90.00
_cell_angle_beta 90.00
_cell_angle_gamma 90.00
loop_
_atom_site_label
_atom_site_type_symbol
_atom_site_fract_x
_atom_site_fract_y
_atom_site_fract_z
Y1 Y 0.0000 0.0000 0.0000
O1 O 0.0652 0.2500 0.1250
F1 F 0.0000 0.0000 0.5000
```

## Properties
M_tot (μB per formula unit): 0.0

=====

Model b:
Here is a geometry-optimized YO2F structure from the Alexandria database. Energies are from GGA-PBE.

Structure (CIF):
```
data_YO2F
_chemical_formula_sum 'Y3 O6 F3'
_symmetry_space_group_name_H-M 'R -3 m'
_symmetry_Int_Tables_number 166
_symmetry_space_group_name_Hall '-R 3 2"'
_cell_length_a 3.5640
_cell_length_b 3.5640
_cell_length_c 16.3609
_cell_angle_alpha 90.00
_cell_angle_beta 90.00
_cell_angle_gamma 120.00
loop_
_atom_site_label
_atom_site_type_symbol
_atom_site_fract_x
_atom_site_fract_y
_atom_site_fract_z
Y1 Y 0.0000 0.0000 0.0000
O1 O 0.0000 0.0000 0.3906
F1 F 0.0000 0.0000 0.5000
```

## Properties
M_tot (μB per formula unit): 0.0

=====

Computed energies relative to the best structure, in eV/atom: model a 0.000; model b 0.218

=====

Model a:
Here is a geometry-optimized YZnOF2 structure from the Alexandria database. Energies are from GGA-PBE.

Structure (CIF):
```
data_YZnOF2
_chemical_formula_sum 'Y1 Zn1 O1 F2'
_symmetry_space_group_name_H-M 'P 4/m m m'
_symmetry_Int_Tables_number 123
_symmetry_space_group_name_Hall '-P 4 2'
_cell_length_a 4.1406
_cell_length_b 4.1406
_cell_length_c 3.8706
_cell_angle_alpha 90.00
_cell_angle_beta 90.00
_cell_angle_gamma 90.00
loop_
_atom_site_label
_atom_site_type_symbol
_atom_site_fract_x
_atom_site_fract_y
_atom_site_fract_z
Y1 Y 0.0000 0.0000 0.0000
Zn1 Zn 0.5000 0.5000 0.5000
O1 O 0.5000 0.5000 0.0000
F1 F 0.0000 0.5000 0.5000
```

## Properties
M_tot (μB per formula unit): 0.0

=====

Model b:
Here is a geometry-optimized YZnOF2 structure from the Alexandria database. Energies are from GGA-PBE.

Structure (CIF):
```
data_YZnOF2
_chemical_formula_sum 'Y1 Zn1 O1 F2'
_symmetry_space_group_name_H-M 'P 4/m m m'
_symmetry_Int_Tables_number 123
_symmetry_space_group_name_Hall '-P 4 2'
_cell_length_a 4.3861
_cell_length_b 4.3861
_cell_length_c 4.4841
_cell_angle_alpha 90.00
_cell_angle_beta 90.00
_cell_angle_gamma 90.00
loop_
_atom_site_label
_atom_site_type_symbol
_atom_site_fract_x
_atom_site_fract_y
_atom_site_fract_z
Y1 Y 0.0000 0.0000 0.0000
Zn1 Zn 0.5000 0.5000 0.5000
O1 O 0.0000 0.0000 0.5000
F1 F 0.0000 0.5000 0.0000
```

## Properties
M_tot (μB per formula unit): 0.0

=====

Computed energies relative to the best structure, in eV/atom: model a 0.379; model b 0.000

=====

Model a:
Here is a geometry-optimized Zr2OF structure from the Alexandria database. Energies are from GGA-PBE.

Structure (CIF):
```
data_Zr2OF
_chemical_formula_sum 'Zr8 O4 F4'
_symmetry_space_group_name_H-M 'I -4 2 d'
_symmetry_Int_Tables_number 122
_symmetry_space_group_name_Hall 'I -4 2bw'
_cell_length_a 5.1491
_cell_length_b 5.1491
_cell_length_c 10.2675
_cell_angle_alpha 90.00
_cell_angle_beta 90.00
_cell_angle_gamma 90.00
loop_
_atom_site_label
_atom_site_type_symbol
_atom_site_fract_x
_atom_site_fract_y
_atom_site_fract_z
Zr1 Zr 0.2132 0.2500 0.1250
O1 O 0.0000 0.0000 0.0000
F1 F 0.0000 0.0000 0.5000
```

## Properties
M_tot (μB per formula unit): 0.9

=====

Model b:
Here is a geometry-optimized Zr2OF structure from the Alexandria database. Energies are from GGA-PBE.

Structure (CIF):
```
data_Zr2OF
_chemical_formula_sum 'Zr8 O4 F4'
_symmetry_space_group_name_H-M 'F m -3 m'
_symmetry_Int_Tables_number 225
_symmetry_space_group_name_Hall '-F 4 2 3'
_cell_length_a 5.9551
_cell_length_b 5.9551
_cell_length_c 5.9551
_cell_angle_alpha 90.00
_cell_angle_beta 90.00
_cell_angle_gamma 90.00
loop_
_atom_site_label
_atom_site_type_symbol
_atom_site_fract_x
_atom_site_fract_y
_atom_site_fract_z
Zr1 Zr 0.2500 0.2500 0.2500
O1 O 0.0000 0.0000 0.0000
F1 F 0.0000 0.0000 0.5000
```

## Properties
M_tot (μB per formula unit): 0.0

=====

Computed energies relative to the best structure, in eV/atom: model a 0.000; model b 0.553

=====

Model a:
Here is a geometry-optimized OsF structure from the Alexandria database. Energies are from GGA-PBE.

Structure (CIF):
```
data_OsF
_chemical_formula_sum 'Os8 F8'
_symmetry_space_group_name_H-M 'P 4/m'
_symmetry_Int_Tables_number 83
_symmetry_space_group_name_Hall '-P 4'
_cell_length_a 9.3263
_cell_length_b 9.3263
_cell_length_c 2.7499
_cell_angle_alpha 90.00
_cell_angle_beta 90.00
_cell_angle_gamma 90.00
loop_
_atom_site_label
_atom_site_type_symbol
_atom_site_fract_x
_atom_site_fract_y
_atom_site_fract_z
Os1 Os 0.0952 0.3988 0.0000
Os2 Os 0.1374 0.6228 0.5000
F1 F 0.1550 0.1892 0.0000
F2 F 0.3340 0.3467 0.5000
```

## Properties
M_tot (μB per formula unit): 0.0

=====

Model b:
Here is a geometry-optimized OsF structure from the Alexandria database. Energies are from GGA-PBE.

Structure (CIF):
```
data_OsF
_chemical_formula_sum 'Os4 F4'
_symmetry_space_group_name_H-M 'F m -3 m'
_symmetry_Int_Tables_number 225
_symmetry_space_group_name_Hall '-F 4 2 3'
_cell_length_a 4.9392
_cell_length_b 4.9392
_cell_length_c 4.9392
_cell_angle_alpha 90.00
_cell_angle_beta 90.00
_cell_angle_gamma 90.00
loop_
_atom_site_label
_atom_site_type_symbol
_atom_site_fract_x
_atom_site_fract_y
_atom_site_fract_z
Os1 Os 0.0000 0.0000 0.0000
F1 F 0.0000 0.0000 0.5000
```

## Properties
M_tot (μB per formula unit): 3.3

=====

Model c:
Here is a geometry-optimized OsF structure from the Alexandria database. Energies are from GGA-PBE.

Structure (CIF):
```
data_OsF
_chemical_formula_sum 'Os8 F8'
_symmetry_space_group_name_H-M 'I 4/m'
_symmetry_Int_Tables_number 87
_symmetry_space_group_name_Hall '-I 4'
_cell_length_a 10.7407
_cell_length_b 10.7407
_cell_length_c 2.7478
_cell_angle_alpha 90.00
_cell_angle_beta 90.00
_cell_angle_gamma 90.00
loop_
_atom_site_label
_atom_site_type_symbol
_atom_site_fract_x
_atom_site_fract_y
_atom_site_fract_z
Os1 Os 0.1825 0.6909 0.0000
F1 F 0.9996 0.3350 0.5000
```

## Properties
M_tot (μB per formula unit): 0.6

=====

Computed energies relative to the best structure, in eV/atom: model a 0.000; model b 2.245; model c 0.607

=====

Model a:
Here is a geometry-optimized OsF structure from the Alexandria database. Energies are from GGA-PBE.

Structure (CIF):
```
data_OsF
_chemical_formula_sum 'Os6 F6'
_symmetry_space_group_name_H-M 'P m m n'
_symmetry_Int_Tables_number 59
_cell_length_a 2.7390
_cell_length_b 9.6750
_cell_length_c 7.4322
_cell_angle_alpha 90.00
_cell_angle_beta 90.00
_cell_angle_gamma 90.00
loop_
_symmetry_equiv_pos_as_xyz
'x,y,z'
'-x,-y,-z'
'-x+1/2,-y+1/2,z'
'x+1/2,y+1/2,-z'
'x+1/2,-y,-z'
'-x+1/2,y,z'
'-x,y+1/2,-z'
'x,-y+1/2,z'
loop_
_atom_site_label
_atom_site_type_symbol
_atom_site_fract_x
_atom_site_fract_y
_atom_site_fract_z
Os1 Os 0.2500 0.1229 0.0312
Os2 Os 0.2500 0.7500 0.7343
F1 F 0.2500 0.2500 0.4842
F2 F 0.2500 0.5679 0.2115
```

## Properties
M_tot (μB per formula unit): 0.0

=====

Model b:
Here is a geometry-optimized OsF structure from the Alexandria database. Energies are from GGA-PBE.

Structure (CIF):
```
data_OsF
_chemical_formula_sum 'Os6 F6'
_symmetry_space_group_name_H-M 'P m -3 n'
_symmetry_Int_Tables_number 223
_symmetry_space_group_name_Hall '-P 4n 2 3'
_cell_length_a 6.5096
_cell_length_b 6.5096
_cell_length_c 6.5096
_cell_angle_alpha 90.00
_cell_angle_beta 90.00
_cell_angle_gamma 90.00
loop_
_atom_site_label
_atom_site_type_symbol
_atom_site_fract_x
_atom_site_fract_y
_atom_site_fract_z
Os1 Os 0.0000 0.2500 0.5000
F1 F 0.0000 0.5000 0.2500
```

## Properties
M_tot (μB per formula unit): 3.6

=====

Computed energies relative to the best structure, in eV/atom: model a 0.000; model b 2.183

=====

Model a:
Here is a geometry-optimized OsF structure from the Alexandria database. Energies are from GGA-PBE.

Structure (CIF):
```
data_OsF
_chemical_formula_sum 'Os8 F8'
_symmetry_space_group_name_H-M 'I -4 3 m'
_symmetry_Int_Tables_number 217
_symmetry_space_group_name_Hall 'I -4 2 3'
_cell_length_a 8.1553
_cell_length_b 8.1553
_cell_length_c 8.1553
_cell_angle_alpha 90.00
_cell_angle_beta 90.00
_cell_angle_gamma 90.00
loop_
_atom_site_label
_atom_site_type_symbol
_atom_site_fract_x
_atom_site_fract_y
_atom_site_fract_z
Os1 Os 0.1064 0.1064 0.8936
F1 F 0.2430 0.2430 0.7570
```

## Properties
M_tot (μB per formula unit): 2.0

=====

Model b:
Here is a geometry-optimized OsF structure from the Alexandria database. Energies are from GGA-PBE.

Structure (CIF):
```
data_OsF
_chemical_formula_sum 'Os4 F4'
_symmetry_space_group_name_H-M 'F -4 3 m'
_symmetry_Int_Tables_number 216
_symmetry_space_group_name_Hall 'F -4 2 3'
_cell_length_a 4.9725
_cell_length_b 4.9725
_cell_length_c 4.9725
_cell_angle_alpha 90.00
_cell_angle_beta 90.00
_cell_angle_gamma 90.00
loop_
_atom_site_label
_atom_site_type_symbol
_atom_site_fract_x
_atom_site_fract_y
_atom_site_fract_z
Os1 Os 0.0000 0.0000 0.0000
F1 F 0.2500 0.2500 0.2500
```

## Properties
M_tot (μB per formula unit): 1.0

=====

Computed energies relative to the best structure, in eV/atom: model a 0.000; model b 1.589